Record 1
# PBE-GGA Co4NiIr, relaxed
data_Co4NiIr
_cell_length_a 6.5814
_cell_length_b 6.5814
_cell_length_c 6.5814
_cell_angle_alpha 90.00
_cell_angle_beta 90.00
_cell_angle_gamma 90.00
_space_group_name_H-M_alt 'F -4 3 m'
_space_group_IT_number 216
_space_group_name_Hall 'F -4 2 3'
loop_
_atom_site_label
_atom_site_type_symbol
_atom_site_fract_x
_atom_site_fract_y
_atom_site_fract_z
Co1 Co 0.1254 0.1254 0.1254
Ni1 Ni 0.0000 0.0000 0.5000
Ir1 Ir 0.2500 0.2500 0.7500
# Energy of formation from the pure elements in eV per atom: 0.138

***

Record 2
# PBE-GGA BaTiI6O18, relaxed
data_BaTiI6O18
_cell_length_a 11.5251
_cell_length_b 11.5251
_cell_length_c 11.3511
_cell_angle_alpha 90.00
_cell_angle_beta 90.00
_cell_angle_gamma 120.00
_space_group_name_H-M_alt 'R 3'
_space_group_IT_number 146
_space_group_name_Hall 'R 3'
loop_
_atom_site_label
_atom_site_type_symbol
_atom_site_fract_x
_atom_site_fract_y
_atom_site_fract_z
Ba1 Ba 0.0000 0.0000 0.0000
Ti1 Ti 0.0000 0.0000 0.3514
I1 I 0.0121 0.6081 0.1097
I2 I 0.0754 0.3559 0.8891
O1 O 0.0502 0.4810 0.6936
O2 O 0.0585 0.5232 0.4506
O3 O 0.0697 0.9085 0.4387
O4 O 0.1371 0.7599 0.2994
O5 O 0.1511 0.0595 0.2270
O6 O 0.2006 0.7912 0.5435
# Energy relative to the elements, uncorrected in eV per atom: -0.862

***

| no. | VASP energy (eV/cell) |
| --- | --- |
| 1 | -168.96 |
| 2 | -392.31 |